Li2Cu2Cl7: optimized geometry, GGA-PBE.

abc: 6.8397 6.6016 6.6016
angles: 114.05 89.06 89.06
Atoms (fractional coordinates):
Li: 0.5000 0.3180 0.6820
Li: 0.5000 0.6820 0.3180
Cu: 0.2016 0.7418 0.7418
Cu: 0.7984 0.2582 0.2582
Cl: 0.2670 0.5717 0.9582
Cl: 0.7330 0.0418 0.4283
Cl: 0.7330 0.4283 0.0418
Cl: 0.2670 0.9582 0.5717
Cl: 0.2639 0.4351 0.4351
Cl: 0.0000 0.0000 0.0000
Cl: 0.7361 0.5649 0.5649

---

MgF: optimized geometry, GGA-PBE.

Results
Relative energy among the computed polymorphs = 10 meV per atom

abc: 3.8195 9.7382 3.3392
angles: 90.00 90.00 90.00
Atoms (fractional coordinates):
Mg: 0.0000 0.6325 0.2500
Mg: 0.0000 0.3675 0.7500
Mg: 0.5000 0.1325 0.2500
Mg: 0.5000 0.8675 0.7500
F: 0.0000 0.2239 0.2500
F: 0.0000 0.7761 0.7500
F: 0.5000 0.7239 0.2500
F: 0.5000 0.2761 0.7500

---

LaDyAg2S4: optimized geometry, GGA-PBE.

abc: 6.7231 6.4021 6.4021
angles: 64.36 58.33 58.33
Atoms (fractional coordinates):
La: 0.0000 0.0000 0.0000
Dy: 0.5000 0.5000 0.5000
Ag: 0.1718 0.3282 0.3282
Ag: 0.8282 0.6718 0.6718
S: 0.4305 0.0967 0.5884
S: 0.1156 0.9033 0.4116
S: 0.8844 0.5884 0.0967
S: 0.5695 0.4116 0.9033

---

LiGdPdRh: optimized geometry, GGA-PBE.

Results
Energy relative to the elements = -0.563 eV/atom

abc: 4.6462 4.6462 4.6462
angles: 60.00 60.00 60.00
Atoms (fractional coordinates):
Gd: 0.5000 0.5000 0.5000
Rh: 0.7500 0.7500 0.7500
Pd: 0.2500 0.2500 0.2500
Li: 0.0000 0.0000 0.0000

---

Ba3Hg4Sb2: optimized geometry, GGA-PBE.

abc: 4.9406 7.0493 10.1340
angles: 107.34 90.00 110.51
Atoms (fractional coordinates):
Ba: 0.6754 0.3509 0.6428
Ba: 0.0000 0.0000 0.0000
Ba: 0.3246 0.6491 0.3572
Hg: 0.7654 0.5308 0.0895
Hg: 0.2346 0.4692 0.9105
Hg: 0.9922 0.9844 0.6471
Hg: 0.0078 0.0156 0.3529
Sb: 0.6146 0.2291 0.2708
Sb: 0.3854 0.7709 0.7292

---

Ni2MoH: optimized geometry, GGA-PBE.

Results
Relative energy among the computed polymorphs = 82 meV per atom

abc: 2.6456 2.6456 7.5701
angles: 79.94 79.94 60.00
Atoms (fractional coordinates):
Ni: 0.0701 0.0701 0.7898
Ni: 0.9299 0.9299 0.2102
Mo: 0.5000 0.5000 0.5000
H: 0.0000 0.0000 0.0000

---

| no. | total energy (eV per cell) |
| --- | --- |
| 1 | -34.3 |
| 2 | -33.3 |
| 3 | -41.4 |
| 4 | -30.8 |
| 5 | -21.3 |
| 6 | -24.7 |